! KV2GeO8 PBE+U relaxed; values from VASP
&SYSTEM
  ibrav = 0, nat = 12, ntyp = 4
/
ATOMIC_SPECIES
O 16.00 O.upf
V 50.94 V.upf
Ge 72.64 Ge.upf
K 39.10 K.upf
ATOMIC_POSITIONS crystal
O 0.842 0.158 0.151
O 0.684 0.842 0.849
O 0.316 0.158 0.151
V 0.333 0.667 0.777
Ge 0.000 0.000 0.000
K 0.000 0.000 0.500
O 0.842 0.684 0.151
O 0.667 0.333 0.446
O 0.333 0.667 0.554
V 0.667 0.333 0.223
O 0.158 0.316 0.849
O 0.158 0.842 0.849
CELL_PARAMETERS angstrom
-4.909 -2.424 0.730
2.387 -0.040 -4.981
3.408 -6.394 1.684
! V in Å³ per atom: 16.378
! Space-group type: P-3m1 (164)
! DFT total energy in eV/f.u.: -80.3